Entry 1:
First-principles (PBE) data for a geometry-optimized In2AsO6 structure, as listed in Alexandria via LeMat-Bulk.

Summary:
* E_form (uncorrected): -1.234 eV/atom

a b c (Å): 5.3651 5.2064 10.1252
angles (deg): 90.00 121.98 90.00
Space group P2_1/c (No. 14)
Inequivalent atoms, fractional coordinates:
In 0.1967 0.0008 0.1970
As 0.5000 0.0000 0.0000
O 0.2017 0.7069 0.3461
O 0.2075 0.1836 0.9995
O 0.4891 0.2043 0.8449

Entry 2:
First-principles (PBE) data for a geometry-optimized Dy8RuPt2 structure, as listed in Alexandria via LeMat-Bulk.

Summary:
* ΔH_f (0 K): -0.58 eV per atom

a b c (Å): 17.2009 5.0026 6.7947
angles (deg): 90.00 106.02 90.00
Space group C2/m (No. 12)
Inequivalent atoms, fractional coordinates:
Dy 0.0312 0.0000 0.2914
Dy 0.0920 0.5000 0.9433
Dy 0.1648 0.5000 0.4661
Dy 0.2024 0.0000 0.8115
Ru 0.0000 0.5000 0.5000
Pt 0.1889 0.0000 0.2125

Entry 3:
First-principles (PBE) data for a geometry-optimized Zr2BeAg structure, as listed in Alexandria via LeMat-Bulk.

Summary:
* ΔH_f (0 K): 0.04 eV per atom

a b c (Å): 10.7948 3.0539 4.9299
angles (deg): 90.00 116.94 90.00
Space group Cm (No. 8)
Inequivalent atoms, fractional coordinates:
Zr 0.0000 0.0000 0.0000
Zr 0.2188 0.0000 0.7141
Be 0.4821 0.0000 0.4853
Ag 0.2900 0.5000 0.2855

Entry 4:
First-principles (PBE) data for a geometry-optimized YScTe structure, as listed in Alexandria via LeMat-Bulk.

Summary:
* E_form (uncorrected): -0.465 eV/atom

a b c (Å): 6.9739 6.9739 6.9739
angles (deg): 90.00 90.00 90.00
Space group F-43m (No. 216)
Inequivalent atoms, fractional coordinates:
Y 0.0000 0.0000 0.0000
Sc 0.0000 0.0000 0.5000
Te 0.2500 0.2500 0.7500

Entry 5:
First-principles (PBE) data for a geometry-optimized CeY3B4O12 structure, as listed in Alexandria via LeMat-Bulk.

Summary:
* E_form (uncorrected): -3.043 eV/atom

a b c (Å): 10.2108 10.2108 8.5949
angles (deg): 90.00 90.00 120.00
Space group R32 (No. 155, hexagonal axes)
Inequivalent atoms, fractional coordinates:
Ce 0.0000 0.0000 0.0000
Y 0.0000 0.5360 0.0000
B 0.0000 0.0000 0.5000
B 0.0000 0.4630 0.5000
O 0.0000 0.5982 0.5000
O 0.0000 0.8646 0.5000
O 0.0042 0.1993 0.1718

Entry 6:
First-principles (PBE) data for a geometry-optimized AlTc structure, as listed in Alexandria via LeMat-Bulk.

Summary:
* ΔH_f (0 K): -0.41 eV per atom

a b c (Å): 3.0927 3.0927 5.9759
angles (deg): 90.00 90.00 90.00
Space group P4/nmm (No. 129, origin choice 2)
Inequivalent atoms, fractional coordinates:
Al 0.2500 0.2500 0.1324
Tc 0.2500 0.2500 0.6331

In order of appearance, E = -101.96 -129.09 -47.01 -69.33 -517.17 -29.87 eV for the cell shown.